(1)
Below is ScCuSn at its PBEsol-relaxed geometry, with properties calculated at the SCAN level.

Cell: 4.354 4.354 6.767 Å, 90.00 90.00 120.00°
Fractional positions:
Sc 0.000 0.000 0.000
Sc 0.000 0.000 0.500
Cu 0.333 0.667 0.171
Cu 0.667 0.333 0.671
Sn 0.333 0.667 0.769
Sn 0.667 0.333 0.269

As for the calculated formation energy: -0.66 eV per atom. The space group is P6_3mc, No. 186.

(2)
Below is SrScCu2 at its PBEsol-relaxed geometry, with properties calculated at the SCAN level.

Cell: 4.863 4.863 4.863 Å, 60.00 60.00 60.00°
Fractional positions:
Sr 0.000 0.000 0.000
Sc 0.500 0.500 0.500
Cu 0.250 0.250 0.250
Cu 0.750 0.750 0.750

As for the calculated formation energy: 0.08 eV per atom. As for the energy above the most stable polymorph in this dataset: 0.000 eV/f.u. The space group is Fm-3m, No. 225.

(3)
Below is SrScCu2 at its PBEsol-relaxed geometry, with properties calculated at the SCAN level.

Cell: 5.454 5.454 5.454 Å, 135.30 135.30 65.07°
Fractional positions:
Sr 0.000 0.000 0.000
Sc 0.250 0.750 0.500
Cu 0.500 0.500 0.000
Cu 0.750 0.250 0.500

As for the calculated formation energy: 0.31 eV per atom. As for the energy above the most stable polymorph in this dataset: 0.906 eV/f.u. The space group is I-4m2, No. 119.

(4)
Below is SrScCu3 at its PBEsol-relaxed geometry, with properties calculated at the SCAN level.

Cell: 4.848 4.848 4.848 Å, 90.00 90.00 90.00°
Fractional positions:
Sr 0.000 0.000 0.000
Sc 0.500 0.500 0.500
Cu 0.000 0.500 0.500
Cu 0.500 0.000 0.500
Cu 0.500 0.500 0.000

As for the calculated formation energy: 0.45 eV per atom. The space group is Pm-3m, No. 221.

(5)
Below is ScTaCu2 at its PBEsol-relaxed geometry, with properties calculated at the SCAN level.

Cell: 8.616 8.616 8.616 Å, 19.76 19.76 19.76°
Fractional positions:
Sc 0.000 0.000 0.000
Ta 0.762 0.762 0.762
Cu 0.247 0.247 0.247
Cu 0.510 0.510 0.510

As for the calculated formation energy: 0.27 eV per atom. As for the energy above the most stable polymorph in this dataset: 0.878 eV/f.u. The space group is R3m, No. 160.

(6)
Below is Sc3TaCu at its PBEsol-relaxed geometry, with properties calculated at the SCAN level.

Cell: 5.007 5.007 5.007 Å, 90.00 90.00 90.00°
Fractional positions:
Sc 0.000 0.000 0.500
Sc 0.000 0.500 0.000
Sc 0.500 0.000 0.000
Ta 0.000 0.000 0.000
Cu 0.500 0.500 0.500

As for the calculated formation energy: 0.94 eV per atom. The space group is Pm-3m, No. 221.